No. 1
Here is CrTc2Br after structural relaxation from Alexandria via LeMat-Bulk. Energies are from GGA-PBEsol.

Computed properties:
M_tot ... 1.949 Bohr magnetons per cell
Formation energy without anion corrections ... 0.83 eV/atom
Space group ... Fm-3m (225)
E_tot ... -7.836 eV/atom
Polymorph energy (0 for the lowest one) ... 12.2 kJ per mole of atoms

Cell and atoms, written as POSCAR:
```
CrTc2Br
1.0
4.298 0.000 0.000
2.149 3.722 0.000
2.149 1.241 3.510
Tc Br Cr
2 1 1
Cartesian
2.149 1.241 0.877
6.447 3.722 2.632
0.000 0.000 0.000
4.298 2.482 1.755
```

No. 2
Here is PaBr3O after structural relaxation from Alexandria via LeMat-Bulk. Energies are from GGA-PBEsol.

Computed properties:
M_tot ... 0.000 Bohr magnetons per cell
Formation energy without anion corrections ... -2.04 eV/atom
Space group ... C2/m (12)
E_tot ... -6.261 eV/atom

Cell and atoms, written as POSCAR:
```
PaBr3O
1.0
3.983 0.000 0.000
-1.991 8.748 -0.306
0.000 -4.526 8.850
Br O Pa
6 2 2
Cartesian
0.000 -0.652 2.692
0.000 2.300 7.993
1.991 -0.415 6.096
0.000 4.638 2.449
1.991 1.923 0.551
1.991 4.874 5.853
1.991 1.978 3.565
0.000 2.244 4.980
0.000 1.999 2.688
1.991 2.224 5.856
```

No. 3
Here is HfFeGe2 after structural relaxation from Alexandria via LeMat-Bulk. Energies are from GGA-PBEsol.

Computed properties:
M_tot ... 0.016 Bohr magnetons per cell
Space group ... Pbam (55)
E_tot ... -7.893 eV/atom
Energy of formation ... -557 meV/atom

Cell and atoms, written as POSCAR:
```
HfFeGe2
1.0
-2.808 -6.926 2.356
2.474 -3.660 -7.811
8.906 -2.287 3.892
Fe Hf Ge
12 12 24
Cartesian
6.866 -10.244 -2.392
1.629 -7.940 -1.861
5.541 -8.392 1.475
0.303 -6.088 2.005
1.706 -2.629 0.829
8.269 -6.785 -3.568
-0.856 -6.992 -2.149
0.522 -3.593 -3.306
3.031 -4.481 -3.038
2.360 -6.306 3.702
3.738 -2.907 2.546
6.943 -4.933 0.299
2.735 -7.360 0.967
4.095 -4.005 -0.174
5.058 -5.625 2.525
3.514 -7.248 -4.088
6.818 -7.957 4.080
5.837 -5.513 -2.530
8.179 -4.602 2.939
4.477 -8.868 -1.389
7.552 -7.778 -0.831
1.020 -5.095 -0.732
0.393 -8.271 -4.502
1.754 -4.916 -5.643
2.558 -9.649 -3.342
6.559 -10.124 0.031
10.183 -5.507 -4.050
3.309 -6.305 -1.559
7.509 -4.581 -4.518
5.263 -6.568 -0.003
6.130 -8.044 -3.308
4.485 -4.896 -4.959
2.426 -2.507 -4.478
8.804 -8.989 -2.902
8.954 -3.440 0.560
2.013 -2.749 -1.594
6.669 -3.092 -1.140
4.711 -2.855 -2.778
1.060 -5.987 -3.304
8.487 -5.371 -1.586
3.872 -1.366 0.599
2.442 -4.829 1.745
1.197 -0.440 0.132
4.087 -7.977 3.396
6.014 -3.224 1.780
7.512 -6.886 1.742
0.085 -7.502 0.023
-0.232 -3.883 1.339
```